(1)
This record from Alexandria via LeMat-Bulk describes crystalline Ba2SrO3 at its relaxed geometry. The functional is PBE.

Properties
- E above lowest polymorph: 0.0000 eV per atom
- Formation energy from raw total energies: -2.537 eV/atom
- SG: Fddd

Lattice parameters (Å, degrees): 12.862 12.279 6.699 79.42 69.79 30.80
Fractional coordinates of all 24 atoms:
Ba  0.040  0.040  0.210
Ba  0.127  0.127  0.623
Ba  0.210  0.210  0.040
Ba  0.377  0.377  0.873
Ba  0.623  0.623  0.127
Ba  0.790  0.790  0.960
Ba  0.873  0.873  0.377
Ba  0.960  0.960  0.790
Sr  0.292  0.292  0.458
Sr  0.458  0.458  0.292
Sr  0.542  0.542  0.708
Sr  0.708  0.708  0.542
O  0.038  0.539  0.224
O  0.139  0.611  0.611
O  0.224  0.699  0.038
O  0.301  0.776  0.461
O  0.389  0.861  0.861
O  0.461  0.962  0.301
O  0.539  0.038  0.699
O  0.611  0.139  0.139
O  0.699  0.224  0.539
O  0.776  0.301  0.962
O  0.861  0.389  0.389
O  0.962  0.461  0.776

***

(2)
This record from Alexandria via LeMat-Bulk describes crystalline K3TbCe2S6 at its relaxed geometry. The functional is PBE.

Properties
- Formation energy from raw total energies: -1.819 eV/atom
- SG: C2/m

Lattice parameters (Å, degrees): 7.225 7.225 7.745 98.95 98.95 120.00
Fractional coordinates of all 12 atoms:
K  0.000  0.000  0.000
K  0.333  0.667  0.000
K  0.667  0.333  0.000
Tb  0.500  0.500  0.500
Ce  0.167  0.833  0.500
Ce  0.833  0.167  0.500
S  0.105  0.432  0.295
S  0.242  0.242  0.705
S  0.432  0.105  0.295
S  0.568  0.895  0.705
S  0.758  0.758  0.295
S  0.895  0.568  0.705

***

Among the records above, which one has the lowest formation energy from raw total energies? Ba2SrO3